Entry 1:
! Zr2In2CuAg PBE optimized geometry; values from VASP
&SYSTEM
  ibrav = 0, nat = 24, ntyp = 4
/
ATOMIC_SPECIES
Ag 107.87 Ag.upf
Cu 63.55 Cu.upf
In 114.82 In.upf
Zr 91.22 Zr.upf
ATOMIC_POSITIONS crystal
Ag 0.250 0.000 0.252
Ag 0.753 0.500 0.253
Ag 0.749 0.000 0.749
Ag 0.499 0.000 0.997
Cu 0.500 0.500 0.502
Cu 0.001 0.000 0.503
Cu 0.247 0.500 0.747
Cu 0.001 0.500 0.998
In 0.063 0.500 0.184
In 0.562 0.000 0.187
In 0.313 0.000 0.444
In 0.816 0.500 0.444
In 0.554 0.500 0.684
In 0.065 0.000 0.684
In 0.306 0.500 0.933
In 0.819 0.000 0.937
Zr 0.178 0.000 0.058
Zr 0.698 0.500 0.061
Zr 0.441 0.500 0.320
Zr 0.941 0.000 0.320
Zr 0.684 0.000 0.558
Zr 0.188 0.500 0.563
Zr 0.424 0.000 0.806
Zr 0.948 0.500 0.814
CELL_PARAMETERS angstrom
7.831 0.000 0.000
0.000 4.500 0.000
-2.528 0.000 14.745
! Symmetry: Pm (6)
! Total DFT energy (no corrections) (eV/atom): -4.99



Entry 2:
! LaHgAu2 PBE optimized geometry; values from VASP
&SYSTEM
  ibrav = 0, nat = 8, ntyp = 3
/
ATOMIC_SPECIES
Au 196.97 Au.upf
Hg 200.59 Hg.upf
La 138.91 La.upf
ATOMIC_POSITIONS crystal
Au 0.500 0.250 0.316
Au 0.500 0.750 0.316
Au 0.000 0.250 0.684
Au 0.000 0.750 0.684
Hg 0.000 0.500 0.214
Hg 0.500 0.000 0.786
La 0.000 0.000 0.183
La 0.500 0.500 0.817
CELL_PARAMETERS angstrom
-0.906 5.028 0.135
-2.415 -0.260 -6.522
-4.869 -0.927 1.840
! Symmetry: Pmmn (59)
! Total DFT energy (no corrections) (eV/atom): -3.57



Entry 3:
! TbHo2Ni4Sn4 PBE optimized geometry; values from VASP
&SYSTEM
  ibrav = 0, nat = 11, ntyp = 4
/
ATOMIC_SPECIES
Ho 164.93 Ho.upf
Ni 58.69 Ni.upf
Sn 118.71 Sn.upf
Tb 158.93 Tb.upf
ATOMIC_POSITIONS crystal
Ho 0.632 0.132 0.500
Ho 0.368 0.868 0.500
Ni 0.633 0.324 0.310
Ni 0.986 0.676 0.310
Ni 0.014 0.324 0.690
Ni 0.367 0.676 0.690
Sn 0.218 0.218 0.000
Sn 0.782 0.782 0.000
Sn 0.701 0.500 0.201
Sn 0.299 0.500 0.799
Tb 0.000 0.000 0.000
CELL_PARAMETERS angstrom
-7.607 2.540 1.651
-2.959 6.588 -3.859
2.934 -7.636 -0.357
! Symmetry: Immm (71)
! Total DFT energy (no corrections) (eV/atom): -5.29



Entry 4:
! YAuSO PBE optimized geometry; values from VASP
&SYSTEM
  ibrav = 0, nat = 16, ntyp = 4
/
ATOMIC_SPECIES
Au 196.97 Au.upf
O 16.00 O.upf
S 32.06 S.upf
Y 88.91 Y.upf
ATOMIC_POSITIONS crystal
Au 0.280 0.342 0.364
Au 0.220 0.842 0.364
Au 0.780 0.342 0.636
Au 0.720 0.842 0.636
O 0.247 0.270 0.006
O 0.253 0.770 0.006
O 0.747 0.270 0.994
O 0.753 0.770 0.994
S 0.916 0.122 0.339
S 0.584 0.622 0.339
S 0.416 0.122 0.661
S 0.084 0.622 0.661
Y 0.514 0.015 0.114
Y 0.986 0.515 0.114
Y 0.014 0.015 0.886
Y 0.486 0.515 0.886
CELL_PARAMETERS angstrom
-3.303 -0.413 4.565
-4.026 -2.590 -3.148
3.717 -8.150 1.952
! Symmetry: Pca2_1 (29)
! Relative energy among the computed polymorphs (kJ/mol of atoms): 8.51



Entry 5:
! Lu3Ni4Sn4 PBE optimized geometry; values from VASP
&SYSTEM
  ibrav = 0, nat = 11, ntyp = 3
/
ATOMIC_SPECIES
Lu 174.97 Lu.upf
Ni 58.69 Ni.upf
Sn 118.71 Sn.upf
ATOMIC_POSITIONS crystal
Lu 0.131 0.131 0.000
Lu 0.869 0.869 0.000
Lu 0.500 0.000 0.500
Ni 0.516 0.322 0.195
Ni 0.873 0.678 0.195
Ni 0.127 0.322 0.805
Ni 0.484 0.678 0.805
Sn 0.796 0.500 0.296
Sn 0.715 0.215 0.500
Sn 0.285 0.785 0.500
Sn 0.204 0.500 0.704
CELL_PARAMETERS angstrom
-2.148 3.500 7.022
2.148 -3.500 7.022
2.148 3.500 -7.022
! Symmetry: Immm (71)
! Total DFT energy (no corrections) (eV/atom): -5.24



Entry 6:
! Ho2ErTm3CuTe2 PBE optimized geometry; values from VASP
&SYSTEM
  ibrav = 0, nat = 9, ntyp = 5
/
ATOMIC_SPECIES
Cu 63.55 Cu.upf
Er 167.26 Er.upf
Ho 164.93 Ho.upf
Te 127.60 Te.upf
Tm 168.93 Tm.upf
ATOMIC_POSITIONS crystal
Cu 0.000 0.001 0.001
Er 0.000 0.402 0.402
Ho 0.000 0.598 0.000
Ho 0.000 0.000 0.598
Te 0.500 0.666 0.333
Te 0.500 0.333 0.666
Tm 0.500 0.242 0.000
Tm 0.500 0.000 0.242
Tm 0.500 0.758 0.758
CELL_PARAMETERS angstrom
3.906 0.000 0.000
0.000 7.214 4.162
0.000 -7.214 4.162
! Symmetry: Amm2 (38)
! Total DFT energy (no corrections) (eV/atom): -4.76



Entry 7:
! NaNiIrSe3 PBE optimized geometry; values from VASP
&SYSTEM
  ibrav = 0, nat = 12, ntyp = 4
/
ATOMIC_SPECIES
Ir 192.22 Ir.upf
Na 22.99 Na.upf
Ni 58.69 Ni.upf
Se 78.96 Se.upf
ATOMIC_POSITIONS crystal
Ir 0.000 0.000 0.000
Ir 0.000 0.000 0.500
Na 0.761 0.239 0.250
Na 0.239 0.761 0.750
Ni 0.469 0.531 0.250
Ni 0.531 0.469 0.750
Se 0.377 0.623 0.048
Se 0.078 0.922 0.250
Se 0.377 0.623 0.452
Se 0.623 0.377 0.548
Se 0.922 0.078 0.750
Se 0.623 0.377 0.952
CELL_PARAMETERS angstrom
1.864 -6.654 0.000
1.864 6.654 0.000
0.000 0.000 9.687
! Symmetry: Cmcm (63)
! Total DFT energy (no corrections) (eV/atom): -4.75



Entry 8:
! ErTm2Mg3Tl2Zn PBE optimized geometry; values from VASP
&SYSTEM
  ibrav = 0, nat = 9, ntyp = 5
/
ATOMIC_SPECIES
Er 167.26 Er.upf
Mg 24.30 Mg.upf
Tl 204.38 Tl.upf
Tm 168.93 Tm.upf
Zn 65.41 Zn.upf
ATOMIC_POSITIONS crystal
Er 0.000 0.581 0.581
Mg 0.500 0.765 0.000
Mg 0.500 0.235 0.235
Mg 0.500 0.000 0.765
Tl 0.500 0.667 0.333
Tl 0.500 0.333 0.667
Tm 0.000 0.000 0.419
Tm 0.000 0.419 0.000
Zn 0.000 0.001 0.001
CELL_PARAMETERS angstrom
-0.224 -3.648 -2.608
5.993 -2.826 3.439
-6.844 -1.445 2.609
! Symmetry: Amm2 (38)
! Total DFT energy (no corrections) (eV/atom): -2.98



Repeat the eighth record exactly.
! ErTm2Mg3Tl2Zn PBE optimized geometry; values from VASP
&SYSTEM
  ibrav = 0, nat = 9, ntyp = 5
/
ATOMIC_SPECIES
Er 167.26 Er.upf
Mg 24.30 Mg.upf
Tl 204.38 Tl.upf
Tm 168.93 Tm.upf
Zn 65.41 Zn.upf
ATOMIC_POSITIONS crystal
Er 0.000 0.581 0.581
Mg 0.500 0.765 0.000
Mg 0.500 0.235 0.235
Mg 0.500 0.000 0.765
Tl 0.500 0.667 0.333
Tl 0.500 0.333 0.667
Tm 0.000 0.000 0.419
Tm 0.000 0.419 0.000
Zn 0.000 0.001 0.001
CELL_PARAMETERS angstrom
-0.224 -3.648 -2.608
5.993 -2.826 3.439
-6.844 -1.445 2.609
! Symmetry: Amm2 (38)
! Total DFT energy (no corrections) (eV/atom): -2.98